A plane-wave DFT calculation with PBE was carried out for an optimized crystal structure of TmLuCuSi.

a b c (Å): 4.8382 4.8382 4.8382
angles (deg): 60.00 60.00 60.00
Last column: nearest neighbours and their distance in Å.
Positions (direct):
Tm: 0.0000 0.0000 0.0000  4 Cu 2.96, 4 Si 2.96
Lu: 0.5000 0.5000 0.5000  4 Cu 2.96, 4 Si 2.96
Cu: 0.7500 0.7500 0.7500  4 Lu 2.96, 4 Tm 2.96
Si: 0.2500 0.2500 0.2500  4 Lu 2.96, 4 Tm 2.96

## Properties
- Space group: F-43m (216)
- Density: 9.03 Mg/m³
- Formation energy without anion corrections: -166 kJ/mol of formula units
- Calculated total energy: -5.058 eV/atom



A plane-wave DFT calculation with PBE was carried out for an optimized crystal structure of HfZr3Pb2.

a b c (Å): 4.1923 4.1923 8.1292
angles (deg): 90.00 90.00 90.00
Last column: nearest neighbours and their distance in Å.
Positions (direct):
Hf: 0.0000 0.0000 0.0000  4 Zr 2.96, 4 Pb 3.09
Zr: 0.0000 0.5000 0.3521  5 Pb 3.00-3.02
Zr: 0.5000 0.0000 0.6479  5 Pb 3.00-3.02
Zr: 0.5000 0.5000 0.0000  4 Hf 2.96, 4 Pb 3.09
Pb: 0.0000 0.5000 0.7212  7 Zr 3.00-3.09, 2 Hf 3.09
Pb: 0.5000 0.0000 0.2788  7 Zr 3.00-3.09, 2 Hf 3.09

## Properties
- Space group: P-4m2 (115)
- Formation energy: -0.946 eV/f.u.
- Density: 10.07 Mg/m³
- Calculated total energy: -7.327 eV/atom



A plane-wave DFT calculation with PBE was carried out for an optimized crystal structure of La2MgZn4Pd3.

a b c (Å): 4.0472 4.0472 12.3499
angles (deg): 90.00 90.00 90.00
Last column: nearest neighbours and their distance in Å.
Positions (direct):
La: 0.0000 0.5000 0.2330  4 Pd 3.08, 4 Zn 3.24
La: 0.5000 0.0000 0.7670  4 Pd 3.08, 4 Zn 3.24
Mg: 0.0000 0.0000 0.5000  4 Zn 2.70, 4 Pd 2.86
Zn: 0.0000 0.0000 0.0000  4 Pd 2.67, 4 Zn 2.86
Zn: 0.0000 0.5000 0.6446  3 Pd 2.64-2.70, 2 Mg 2.70
Zn: 0.5000 0.0000 0.3554  3 Pd 2.64-2.70, 2 Mg 2.70
Zn: 0.5000 0.5000 0.0000  4 Pd 2.67, 4 Zn 2.86
Pd: 0.0000 0.5000 0.8587  5 Zn 2.64-2.67
Pd: 0.5000 0.0000 0.1413  5 Zn 2.64-2.67
Pd: 0.5000 0.5000 0.5000  4 Zn 2.70, 4 Mg 2.86

## Properties
- Space group: P-4m2 (115)
- Formation energy: -5.691 eV/f.u.
- Density: 7.25 Mg/m³
- Calculated total energy: -3.781 eV/atom